Dy4GaTe3 (PBE, optimized geometry); energy = -5.040 eV/atom; N(E_F) = 1.150 states/eV/f.u.; energy above the most stable polymorph in this dataset = 0.000 eV per atom
1.0
7.5222 0.0000 0.0000
0.0000 8.6885 0.0000
-2.4701 0.0000 7.0380
Dy Ga Te
8 2 6
direct
0.2280 0.1145 0.0018
0.2280 0.8855 0.5018
0.2333 0.3539 0.4812
0.2333 0.6461 0.9812
0.7667 0.3539 0.0188
0.7667 0.6461 0.5188
0.7720 0.1145 0.4982
0.7720 0.8855 0.9982
0.0000 0.1217 0.2500
0.0000 0.8783 0.7500
0.0000 0.3780 0.7500
0.0000 0.6220 0.2500
0.5000 0.1253 0.7500
0.5000 0.3813 0.2500
0.5000 0.6187 0.7500
0.5000 0.8747 0.2500

PmDyAl4 (PBE, optimized geometry); energy = -4.562 eV/atom; N(E_F) = 4.960 states/eV/f.u.; formation energy from the elements = -0.508 eV/atom
1.0
0.0000 3.9680 3.9680
3.9680 0.0000 3.9680
3.9680 3.9680 0.0000
Pm Dy Al
1 1 4
direct
0.0000 0.0000 0.0000
0.2500 0.2500 0.2500
0.1253 0.6249 0.6249
0.6249 0.1253 0.6249
0.6249 0.6249 0.1253
0.6249 0.6249 0.6249

Li2HoCuO4 (PBE, optimized geometry); energy = -5.823 eV/atom; N(E_F) = 4.280 states/eV/f.u.
1.0
1.6159 -5.6984 0.0000
1.6159 5.6984 0.0000
0.0000 0.0000 9.6486
Li Ho Cu O
4 2 2 8
direct
0.0981 0.9019 0.5430
0.0981 0.9019 0.9570
0.9019 0.0981 0.0430
0.9019 0.0981 0.4570
0.4321 0.5679 0.7500
0.5679 0.4321 0.2500
0.3002 0.6998 0.2500
0.6998 0.3002 0.7500
0.0896 0.9104 0.7500
0.1729 0.8271 0.1306
0.1729 0.8271 0.3694
0.5000 0.5000 0.0000
0.5000 0.5000 0.5000
0.8271 0.1729 0.6306
0.8271 0.1729 0.8694
0.9104 0.0896 0.2500

> Among the records above, which one has the highest energy?

PmDyAl4